Entry from Alexandria: VCoS3 after structural relaxation (PBE).

POSCAR file:
```
VCoS3
1.0
4.390 0.000 0.000
0.000 4.390 0.000
0.000 0.000 4.390
S Co V
3 1 1
Cartesian
0.000 2.195 0.000
0.000 0.000 2.195
2.195 0.000 0.000
0.000 0.000 0.000
2.195 2.195 2.195
```

Summary:
ΔE to the lowest computed polymorph: 996 meV per atom
energy relative to the elements, uncorrected: 0.337 eV per atom
total DFT energy (no corrections): -0.198 Ha/atom